Record 1
Below is a relaxed TbInPtRh crystal, with properties calculated at the PBE-GGA level.

Calculated values
**SG**: I-4m2, No. 119
**Crystal system**: tetragonal
**Energy of formation**: -308 kJ/mol of formula units
**N(E_F)**: 0.435 states/eV/atom
**Raw total energy**: -24.0 eV for the cell shown

Structure (CIF):
```
data_TbInPtRh
_chemical_formula_sum 'Tb1 In1 Pt1 Rh1'
_cell_length_a 4.9217
_cell_length_b 4.9217
_cell_length_c 4.9217
_cell_angle_alpha 125.60
_cell_angle_beta 125.60
_cell_angle_gamma 80.55
_space_group_name_H-M_alt 'P 1'
_space_group_IT_number 1
loop_
_space_group_symop_operation_xyz
'x,y,z'
loop_
_atom_site_label
_atom_site_fract_x
_atom_site_fract_y
_atom_site_fract_z
Tb1 0.0000 0.0000 0.0000
In1 0.5000 0.5000 0.0000
Pt1 0.7500 0.2500 0.5000
Rh1 0.2500 0.7500 0.5000
```

---

Record 2
Below is a relaxed In4Hg3Bi4 crystal, with properties calculated at the PBE-GGA level.

Calculated values
**SG**: P-1, No. 2
**Crystal system**: triclinic
**Energy of formation**: 35 kJ/mol of formula units
**N(E_F)**: 0.302 states/eV/atom
**Raw total energy**: -27.0 eV for the cell shown

Structure (CIF):
```
data_In4Hg3Bi4
_chemical_formula_sum 'In4 Hg3 Bi4'
_cell_length_a 3.3781
_cell_length_b 5.0420
_cell_length_c 20.2850
_cell_angle_alpha 94.17
_cell_angle_beta 91.77
_cell_angle_gamma 108.07
_space_group_name_H-M_alt 'P 1'
_space_group_IT_number 1
loop_
_space_group_symop_operation_xyz
'x,y,z'
loop_
_atom_site_label
_atom_site_fract_x
_atom_site_fract_y
_atom_site_fract_z
In1 0.0389 0.1225 0.3510
In2 0.2418 0.5130 0.0828
In3 0.7582 0.4870 0.9172
In4 0.9611 0.8775 0.6490
Hg1 0.2730 0.4636 0.7270
Hg2 0.5000 0.0000 0.0000
Hg3 0.7270 0.5364 0.2730
Bi1 0.0156 0.0095 0.1752
Bi2 0.3892 0.7304 0.4478
Bi3 0.6108 0.2696 0.5522
Bi4 0.9844 0.9905 0.8248
```

---

Record 3
Below is a relaxed Rb2PmNpS4 crystal, with properties calculated at the PBE-GGA level.

Calculated values
**SG**: P2/m, No. 10
**Crystal system**: monoclinic
**N(E_F)**: 1.026 states/eV/atom
**Raw total energy**: -48.8 eV for the cell shown

Structure (CIF):
```
data_Rb2PmNpS4
_chemical_formula_sum 'Rb2 Pm1 Np1 S4'
_cell_length_a 7.2248
_cell_length_b 4.1677
_cell_length_c 8.0601
_cell_angle_alpha 90.00
_cell_angle_beta 107.46
_cell_angle_gamma 90.00
_space_group_name_H-M_alt 'P 1'
_space_group_IT_number 1
loop_
_space_group_symop_operation_xyz
'x,y,z'
loop_
_atom_site_label
_atom_site_fract_x
_atom_site_fract_y
_atom_site_fract_z
Rb1 0.0000 0.0000 0.0000
Rb2 0.5000 0.5000 0.0000
Pm1 0.0000 0.5000 0.5000
Np1 0.5000 0.0000 0.5000
S1 0.2349 0.0000 0.6960
S2 0.2741 0.5000 0.3083
S3 0.7259 0.5000 0.6917
S4 0.7651 0.0000 0.3040
```

---

Record 4
Below is a relaxed Tb6AsO12 crystal, with properties calculated at the PBE-GGA level.

Calculated values
**SG**: R-3, No. 148
**Crystal system**: trigonal
**N(E_F)**: 0.542 states/eV/atom
**Raw total energy**: -149.8 eV for the cell shown

Structure (CIF):
```
data_Tb6AsO12
_chemical_formula_sum 'Tb6 As1 O12'
_cell_length_a 6.4536
_cell_length_b 6.4536
_cell_length_c 6.4536
_cell_angle_alpha 98.61
_cell_angle_beta 98.61
_cell_angle_gamma 98.61
_space_group_name_H-M_alt 'P 1'
_space_group_IT_number 1
loop_
_space_group_symop_operation_xyz
'x,y,z'
loop_
_atom_site_label
_atom_site_fract_x
_atom_site_fract_y
_atom_site_fract_z
Tb1 0.1104 0.7978 0.6398
Tb2 0.2022 0.3602 0.8896
Tb3 0.3602 0.8896 0.2022
Tb4 0.6398 0.1104 0.7978
Tb5 0.7978 0.6398 0.1104
Tb6 0.8896 0.2022 0.3602
As1 0.5000 0.5000 0.5000
O1 0.0584 0.9085 0.3226
O2 0.0915 0.6774 0.9416
O3 0.2091 0.4357 0.5320
O4 0.3226 0.0584 0.9085
O5 0.4357 0.5320 0.2091
O6 0.4680 0.7909 0.5643
O7 0.5320 0.2091 0.4357
O8 0.5643 0.4680 0.7909
O9 0.6774 0.9416 0.0915
O10 0.7909 0.5643 0.4680
O11 0.9085 0.3226 0.0584
O12 0.9416 0.0915 0.6774
```

---

Record 5
Below is a relaxed BaMgTiF7 crystal, with properties calculated at the PBE-GGA level.

Calculated values
**SG**: P2_1/c, No. 14
**Crystal system**: monoclinic
**N(E_F)**: 0.335 states/eV/atom
**Raw total energy**: -240.1 eV for the cell shown

Structure (CIF):
```
data_BaMgTiF7
_chemical_formula_sum 'Ba4 Mg4 Ti4 F28'
_cell_length_a 5.7238
_cell_length_b 10.0448
_cell_length_c 9.7000
_cell_angle_alpha 90.00
_cell_angle_beta 92.72
_cell_angle_gamma 90.00
_space_group_name_H-M_alt 'P 1'
_space_group_IT_number 1
loop_
_space_group_symop_operation_xyz
'x,y,z'
loop_
_atom_site_label
_atom_site_fract_x
_atom_site_fract_y
_atom_site_fract_z
Ba1 0.2306 0.1794 0.0004
Ba2 0.2306 0.3206 0.5004
Ba3 0.7694 0.6794 0.4996
Ba4 0.7694 0.8206 0.9996
Mg1 0.1915 0.6047 0.8098
Mg2 0.1915 0.8953 0.3098
Mg3 0.8085 0.1047 0.6902
Mg4 0.8085 0.3953 0.1902
Ti1 0.3061 0.6110 0.1887
Ti2 0.3061 0.8890 0.6887
Ti3 0.6939 0.1110 0.3113
Ti4 0.6939 0.3890 0.8113
F1 0.0238 0.7163 0.2524
F2 0.0238 0.7837 0.7524
F3 0.1101 0.5409 0.6262
F4 0.1101 0.9591 0.1262
F5 0.1265 0.0523 0.6291
F6 0.1265 0.4477 0.1291
F7 0.2399 0.6874 0.0029
F8 0.2399 0.8126 0.5029
F9 0.3802 0.0497 0.3716
F10 0.3802 0.4503 0.8716
F11 0.3900 0.5472 0.3689
F12 0.3900 0.9528 0.8689
F13 0.4696 0.7158 0.7478
F14 0.4696 0.7842 0.2478
F15 0.5304 0.2158 0.7522
F16 0.5304 0.2842 0.2522
F17 0.6100 0.0472 0.1311
F18 0.6100 0.4528 0.6311
F19 0.6198 0.5497 0.1284
F20 0.6198 0.9503 0.6284
F21 0.7601 0.1874 0.4971
F22 0.7601 0.3126 0.9971
F23 0.8735 0.5523 0.8709
F24 0.8735 0.9477 0.3709
F25 0.8899 0.0409 0.8738
F26 0.8899 0.4591 0.3738
F27 0.9762 0.2163 0.2476
F28 0.9762 0.2837 0.7476
```

---

Record 6
Below is a relaxed HfAlBTe2 crystal, with properties calculated at the PBE-GGA level.

Calculated values
**SG**: P4/mmm, No. 123
**Crystal system**: tetragonal
**N(E_F)**: 0.770 states/eV/atom
**Raw total energy**: -23.4 eV for the cell shown

Structure (CIF):
```
data_HfAlBTe2
_chemical_formula_sum 'Hf1 Al1 B1 Te2'
_cell_length_a 5.4006
_cell_length_b 5.4006
_cell_length_c 3.9353
_cell_angle_alpha 90.00
_cell_angle_beta 90.00
_cell_angle_gamma 90.00
_space_group_name_H-M_alt 'P 1'
_space_group_IT_number 1
loop_
_space_group_symop_operation_xyz
'x,y,z'
loop_
_atom_site_label
_atom_site_fract_x
_atom_site_fract_y
_atom_site_fract_z
Hf1 0.0000 0.0000 0.0000
Al1 0.5000 0.5000 0.5000
B1 0.5000 0.5000 0.0000
Te1 0.0000 0.5000 0.5000
Te2 0.5000 0.0000 0.5000
```

---

Record 7
Below is a relaxed Nd2SeI crystal, with properties calculated at the PBE-GGA level.

Calculated values
**SG**: R-3m, No. 166
**Crystal system**: trigonal
**N(E_F)**: 0.515 states/eV/atom
**Raw total energy**: -19.9 eV for the cell shown

Structure (CIF):
```
data_Nd2SeI
_chemical_formula_sum 'Nd2 Se1 I1'
_cell_length_a 7.8420
_cell_length_b 7.8420
_cell_length_c 7.8420
_cell_angle_alpha 32.38
_cell_angle_beta 32.38
_cell_angle_gamma 32.38
_space_group_name_H-M_alt 'P 1'
_space_group_IT_number 1
loop_
_space_group_symop_operation_xyz
'x,y,z'
loop_
_atom_site_label
_atom_site_fract_x
_atom_site_fract_y
_atom_site_fract_z
Nd1 0.2298 0.2298 0.2298
Nd2 0.7702 0.7702 0.7702
Se1 0.5000 0.5000 0.5000
I1 0.0000 0.0000 0.0000
```

---

Record 8
Below is a relaxed Zr2CoSi2 crystal, with properties calculated at the PBE-GGA level.

Calculated values
**SG**: P4/mbm, No. 127
**Crystal system**: tetragonal
**N(E_F)**: 0.661 states/eV/atom
**Raw total energy**: -78.0 eV for the cell shown

Structure (CIF):
```
data_Zr2CoSi2
_chemical_formula_sum 'Zr4 Co2 Si4'
_cell_length_a 6.1881
_cell_length_b 6.1881
_cell_length_c 4.2053
_cell_angle_alpha 90.00
_cell_angle_beta 90.00
_cell_angle_gamma 90.00
_space_group_name_H-M_alt 'P 1'
_space_group_IT_number 1
loop_
_space_group_symop_operation_xyz
'x,y,z'
loop_
_atom_site_label
_atom_site_fract_x
_atom_site_fract_y
_atom_site_fract_z
Zr1 0.1699 0.3301 0.0000
Zr2 0.3301 0.8301 0.0000
Zr3 0.6699 0.1699 0.0000
Zr4 0.8301 0.6699 0.0000
Co1 0.0000 0.0000 0.5000
Co2 0.5000 0.5000 0.5000
Si1 0.1395 0.6395 0.5000
Si2 0.3605 0.1395 0.5000
Si3 0.6395 0.8605 0.5000
Si4 0.8605 0.3605 0.5000
```

---

Record 9
Below is a relaxed LiMgSn2 crystal, with properties calculated at the PBE-GGA level.

Calculated values
**SG**: Immm, No. 71
**Crystal system**: orthorhombic
**Energy of formation**: 43 kJ/mol of formula units
**N(E_F)**: 0.532 states/eV/atom
**Raw total energy**: -11.1 eV for the cell shown

Structure (CIF):
```
data_LiMgSn2
_chemical_formula_sum 'Li1 Mg1 Sn2'
_cell_length_a 6.5845
_cell_length_b 6.5845
_cell_length_c 6.5845
_cell_angle_alpha 151.40
_cell_angle_beta 127.66
_cell_angle_gamma 60.73
_space_group_name_H-M_alt 'P 1'
_space_group_IT_number 1
loop_
_space_group_symop_operation_xyz
'x,y,z'
loop_
_atom_site_label
_atom_site_fract_x
_atom_site_fract_y
_atom_site_fract_z
Li1 0.0000 0.0000 0.0000
Mg1 0.5000 0.5000 0.0000
Sn1 0.2454 0.2454 0.0000
Sn2 0.7546 0.7546 0.0000
```

---

Record 10
Below is a relaxed BaZr2Ru crystal, with properties calculated at the PBE-GGA level.

Calculated values
**SG**: Immm, No. 71
**Crystal system**: orthorhombic
**Energy of formation**: 105 kJ/mol of formula units
**N(E_F)**: 1.342 states/eV/atom
**Raw total energy**: -27.2 eV for the cell shown

Structure (CIF):
```
data_BaZr2Ru
_chemical_formula_sum 'Ba1 Zr2 Ru1'
_cell_length_a 6.3247
_cell_length_b 6.3247
_cell_length_c 6.3247
_cell_angle_alpha 149.37
_cell_angle_beta 125.44
_cell_angle_gamma 63.87
_space_group_name_H-M_alt 'P 1'
_space_group_IT_number 1
loop_
_space_group_symop_operation_xyz
'x,y,z'
loop_
_atom_site_label
_atom_site_fract_x
_atom_site_fract_y
_atom_site_fract_z
Ba1 0.0000 0.0000 0.0000
Zr1 0.3065 0.8065 0.5000
Zr2 0.6935 0.1935 0.5000
Ru1 0.5000 0.5000 0.0000
```

---

Which value of raw total energy does entry 3 give? -48.8 eV for the cell shown

---

What is the raw total energy in the second record? -27.0 eV for the cell shown

---

What did the third record say?
Below is a relaxed Rb2PmNpS4 crystal, with properties calculated at the PBE-GGA level.

Calculated values
**SG**: P2/m, No. 10
**Crystal system**: monoclinic
**N(E_F)**: 1.026 states/eV/atom
**Raw total energy**: -48.8 eV for the cell shown

Structure (CIF):
```
data_Rb2PmNpS4
_chemical_formula_sum 'Rb2 Pm1 Np1 S4'
_cell_length_a 7.2248
_cell_length_b 4.1677
_cell_length_c 8.0601
_cell_angle_alpha 90.00
_cell_angle_beta 107.46
_cell_angle_gamma 90.00
_space_group_name_H-M_alt 'P 1'
_space_group_IT_number 1
loop_
_space_group_symop_operation_xyz
'x,y,z'
loop_
_atom_site_label
_atom_site_fract_x
_atom_site_fract_y
_atom_site_fract_z
Rb1 0.0000 0.0000 0.0000
Rb2 0.5000 0.5000 0.0000
Pm1 0.0000 0.5000 0.5000
Np1 0.5000 0.0000 0.5000
S1 0.2349 0.0000 0.6960
S2 0.2741 0.5000 0.3083
S3 0.7259 0.5000 0.6917
S4 0.7651 0.0000 0.3040
```